Mg2MnBr after structural relaxation, computed with GGA-PBEsol.

Values from the calculation:
N(E_F)   2.26 states/eV per cell
Relative energy among the computed polymorphs   28 meV/atom
M_tot   0.8375 μB/atom
Formation energy without anion corrections   -0.027 eV per atom

Cell and atoms, written as CIF:
```
data_Mg2MnBr
_cell_length_a 3.2786
_cell_length_b 3.2786
_cell_length_c 7.4323
_cell_angle_alpha 90.00
_cell_angle_beta 90.00
_cell_angle_gamma 90.00
_symmetry_space_group_name_H-M 'P 4/m m m'
_symmetry_Int_Tables_number 123
_symmetry_space_group_name_Hall '-P 4 2'
loop_
_atom_site_label
_atom_site_type_symbol
_atom_site_fract_x
_atom_site_fract_y
_atom_site_fract_z
Mg1 Mg 0.0000 0.0000 0.2183
Mn1 Mn 0.5000 0.5000 0.0000
Br1 Br 0.5000 0.5000 0.5000
```

---

Ca2InCu after structural relaxation, computed with GGA-PBEsol.

Values from the calculation:
N(E_F)   6.17 states/eV per cell
ΔH_f (0 K)   -0.22 eV per atom
M_tot   0.0000 μB/atom

Cell and atoms, written as CIF:
```
data_Ca2InCu
_cell_length_a 4.5260
_cell_length_b 4.1436
_cell_length_c 11.2945
_cell_angle_alpha 90.00
_cell_angle_beta 90.00
_cell_angle_gamma 90.00
_symmetry_space_group_name_H-M 'A m m 2'
_symmetry_Int_Tables_number 38
loop_
_symmetry_equiv_pos_as_xyz
'x,y,z'
'-x,-y,z'
'-x,y,z'
'x,-y,z'
'x,y+1/2,z+1/2'
'-x,-y+1/2,z+1/2'
'-x,y+1/2,z+1/2'
'x,-y+1/2,z+1/2'
loop_
_atom_site_label
_atom_site_type_symbol
_atom_site_fract_x
_atom_site_fract_y
_atom_site_fract_z
Ca1 Ca 0.0000 0.0000 0.0000
Ca2 Ca 0.5000 0.0000 0.2937
In1 In 0.5000 0.0000 0.5832
Cu1 Cu 0.0000 0.0000 0.7086
```

---

BCl after structural relaxation, computed with GGA-PBEsol.

Values from the calculation:
M_tot   0.0000 μB/atom
Formation energy without anion corrections   -0.522 eV per atom

Cell and atoms, written as CIF:
```
data_BCl
_cell_length_a 8.0488
_cell_length_b 13.1589
_cell_length_c 14.1423
_cell_angle_alpha 90.00
_cell_angle_beta 90.00
_cell_angle_gamma 90.00
_symmetry_space_group_name_H-M 'P 21 21 21'
_symmetry_Int_Tables_number 19
loop_
_symmetry_equiv_pos_as_xyz
'x,y,z'
'-x+1/2,-y,z+1/2'
'x+1/2,-y+1/2,-z'
'-x,y+1/2,-z+1/2'
loop_
_atom_site_label
_atom_site_type_symbol
_atom_site_fract_x
_atom_site_fract_y
_atom_site_fract_z
B1 B 0.0110 0.0040 0.0430
B2 B 0.0184 0.4347 0.3522
B3 B 0.0436 0.0631 0.1697
B4 B 0.1237 0.8934 0.0682
B5 B 0.1373 0.1126 0.0676
B6 B 0.1933 0.9440 0.1757
B7 B 0.2401 0.9277 0.6575
B8 B 0.2450 0.9984 0.5524
Cl1 Cl 0.0826 0.0224 0.4727
Cl2 Cl 0.0857 0.8640 0.7174
Cl3 Cl 0.0886 0.6243 0.2497
Cl4 Cl 0.1303 0.5257 0.5494
Cl5 Cl 0.1316 0.2291 0.0125
Cl6 Cl 0.1409 0.7764 0.0148
Cl7 Cl 0.1852 0.3717 0.3036
Cl8 Cl 0.1938 0.1165 0.7658
```

---

Fe2CuRu after structural relaxation, computed with GGA-PBEsol.

Values from the calculation:
N(E_F)   7.58 states/eV per cell
ΔH_f (0 K)   0.19 eV per atom
Relative energy among the computed polymorphs   0 meV/atom
M_tot   1.1658 μB/atom

Cell and atoms, written as CIF:
```
data_Fe2CuRu
_cell_length_a 5.0675
_cell_length_b 7.3002
_cell_length_c 2.5415
_cell_angle_alpha 90.00
_cell_angle_beta 90.00
_cell_angle_gamma 90.00
_symmetry_space_group_name_H-M 'C m m m'
_symmetry_Int_Tables_number 65
_symmetry_space_group_name_Hall '-C 2 2'
loop_
_atom_site_label
_atom_site_type_symbol
_atom_site_fract_x
_atom_site_fract_y
_atom_site_fract_z
Fe1 Fe 0.2500 0.2500 0.0000
Cu1 Cu 0.0000 0.0000 0.5000
Ru1 Ru 0.0000 0.5000 0.5000
```

---

ZrMoP2 after structural relaxation, computed with GGA-PBEsol.

Values from the calculation:
N(E_F)   4.98 states/eV per cell
ΔH_f (0 K)   -0.09 eV per atom
Relative energy among the computed polymorphs   922 meV/atom
M_tot   0.0000 μB/atom

Cell and atoms, written as CIF:
```
data_ZrMoP2
_cell_length_a 6.2544
_cell_length_b 6.2544
_cell_length_c 6.2544
_cell_angle_alpha 90.00
_cell_angle_beta 90.00
_cell_angle_gamma 90.00
_symmetry_space_group_name_H-M 'F -4 3 m'
_symmetry_Int_Tables_number 216
_symmetry_space_group_name_Hall 'F -4 2 3'
loop_
_atom_site_label
_atom_site_type_symbol
_atom_site_fract_x
_atom_site_fract_y
_atom_site_fract_z
Zr1 Zr 0.0000 0.0000 0.0000
Mo1 Mo 0.2500 0.2500 0.7500
P1 P 0.0000 0.0000 0.5000
P2 P 0.2500 0.2500 0.2500
```

---

ZrMo2W after structural relaxation, computed with GGA-PBEsol.

Values from the calculation:
N(E_F)   2.77 states/eV per cell
ΔH_f (0 K)   0.03 eV per atom
Relative energy among the computed polymorphs   54 meV/atom
M_tot   0.0000 μB/atom

Cell and atoms, written as CIF:
```
data_ZrMo2W
_cell_length_a 3.1893
_cell_length_b 3.1893
_cell_length_c 6.5321
_cell_angle_alpha 90.00
_cell_angle_beta 90.00
_cell_angle_gamma 90.00
_symmetry_space_group_name_H-M 'P 4 m m'
_symmetry_Int_Tables_number 99
loop_
_symmetry_equiv_pos_as_xyz
'x,y,z'
'-y,x,z'
'-x,-y,z'
'y,-x,z'
'-x,y,z'
'y,x,z'
'x,-y,z'
'-y,-x,z'
loop_
_atom_site_label
_atom_site_type_symbol
_atom_site_fract_x
_atom_site_fract_y
_atom_site_fract_z
Zr1 Zr 0.0000 0.0000 0.0000
Mo1 Mo 0.0000 0.0000 0.4976
Mo2 Mo 0.5000 0.5000 0.2643
W1 W 0.5000 0.5000 0.7315
```

---

KSb4Se after structural relaxation, computed with GGA-PBEsol.

Values from the calculation:
N(E_F)   13.45 states/eV per cell
M_tot   0.0000 μB/atom
Formation energy without anion corrections   0.017 eV per atom

Cell and atoms, written as CIF:
```
data_KSb4Se
_cell_length_a 8.8169
_cell_length_b 8.8169
_cell_length_c 8.8169
_cell_angle_alpha 90.00
_cell_angle_beta 90.00
_cell_angle_gamma 90.00
_symmetry_space_group_name_H-M 'F -4 3 m'
_symmetry_Int_Tables_number 216
_symmetry_space_group_name_Hall 'F -4 2 3'
loop_
_atom_site_label
_atom_site_type_symbol
_atom_site_fract_x
_atom_site_fract_y
_atom_site_fract_z
K1 K 0.0000 0.0000 0.0000
Sb1 Sb 0.1188 0.1188 0.3812
Se1 Se 0.2500 0.2500 0.7500
```

---

Er2Sc3Si4 after structural relaxation, computed with GGA-PBEsol.

Values from the calculation:
N(E_F)   31.44 states/eV per cell
M_tot   0.0000 μB/atom
Formation energy without anion corrections   -0.885 eV per atom

Cell and atoms, written as CIF:
```
data_Er2Sc3Si4
_cell_length_a 6.9852
_cell_length_b 13.7586
_cell_length_c 7.2788
_cell_angle_alpha 90.00
_cell_angle_beta 90.00
_cell_angle_gamma 90.00
_symmetry_space_group_name_H-M 'P n m a'
_symmetry_Int_Tables_number 62
loop_
_symmetry_equiv_pos_as_xyz
'x,y,z'
'-x,-y,-z'
'-x+1/2,-y,z+1/2'
'x+1/2,y,-z+1/2'
'x+1/2,-y+1/2,-z+1/2'
'-x+1/2,y+1/2,z+1/2'
'-x,y+1/2,-z'
'x,-y+1/2,z'
loop_
_atom_site_label
_atom_site_type_symbol
_atom_site_fract_x
_atom_site_fract_y
_atom_site_fract_z
Er1 Er 0.0107 0.0961 0.1763
Sc1 Sc 0.1628 0.7500 0.5037
Sc2 Sc 0.1694 0.1255 0.6766
Si1 Si 0.0333 0.7500 0.1124
Si2 Si 0.1590 0.5388 0.4650
Si3 Si 0.2139 0.2500 0.3699
```

---

CdAgBi3 after structural relaxation, computed with GGA-PBEsol.

Values from the calculation:
N(E_F)   3.83 states/eV per cell
ΔH_f (0 K)   0.86 eV per atom
M_tot   0.0000 μB/atom

Cell and atoms, written as CIF:
```
data_CdAgBi3
_cell_length_a 5.5459
_cell_length_b 5.5459
_cell_length_c 5.5459
_cell_angle_alpha 90.00
_cell_angle_beta 90.00
_cell_angle_gamma 90.00
_symmetry_space_group_name_H-M 'P m -3 m'
_symmetry_Int_Tables_number 221
_symmetry_space_group_name_Hall '-P 4 2 3'
loop_
_atom_site_label
_atom_site_type_symbol
_atom_site_fract_x
_atom_site_fract_y
_atom_site_fract_z
Cd1 Cd 0.0000 0.0000 0.0000
Ag1 Ag 0.5000 0.5000 0.5000
Bi1 Bi 0.0000 0.0000 0.5000
```

---

TaSe2N2 after structural relaxation, computed with GGA-PBEsol.

Values from the calculation:
N(E_F)   7.18 states/eV per cell
Relative energy among the computed polymorphs   0 meV/atom
M_tot   0.0001 μB/atom
Formation energy without anion corrections   1.070 eV per atom

Cell and atoms, written as CIF:
```
data_TaSe2N2
_cell_length_a 6.8840
_cell_length_b 6.8840
_cell_length_c 3.2184
_cell_angle_alpha 90.00
_cell_angle_beta 90.00
_cell_angle_gamma 90.00
_symmetry_space_group_name_H-M 'P 4/m b m'
_symmetry_Int_Tables_number 127
_symmetry_space_group_name_Hall '-P 4 2ab'
loop_
_atom_site_label
_atom_site_type_symbol
_atom_site_fract_x
_atom_site_fract_y
_atom_site_fract_z
Ta1 Ta 0.0000 0.0000 0.0000
Se1 Se 0.1602 0.3398 0.0000
N1 N 0.2270 0.7270 0.5000
```

---

- The highest M_tot belongs to which entry?
  Fe2CuRu

---

- Number 8 is which compound?
  Er2Sc3Si4

---

- What is the M_tot in the second record?
  0.0000 μB/atom